# 1
The following is a DFT calculation (GGA-PBE) of crystalline SiB2C3 at its relaxed geometry.

Geometry as POSCAR:
```
SiB2C3
1.0
2.829 0.000 0.000
-0.554 3.847 0.000
-0.199 -1.889 4.611
Si B C
1 2 3
Cartesian
0.000 0.000 0.000
0.365 -0.032 2.885
1.211 2.173 1.242
-0.207 2.830 1.648
1.222 -0.691 4.585
1.751 0.436 3.506
```

## Properties
Mass density ... 2.8 g/cm³
Energy ... -7.463 eV/atom
ΔE to the lowest computed polymorph ... 80 meV/atom
ΔE_f (raw) ... 279 meV per atom
V ... 50.19 Å³/f.u.

***

# 2
The following is a DFT calculation (GGA-PBE) of crystalline SiBC at its relaxed geometry.

Geometry as POSCAR:
```
SiBC
1.0
2.720 0.000 0.000
0.000 3.516 0.000
-1.034 0.000 2.889
Si B C
1 1 1
Cartesian
0.000 0.000 0.000
0.843 1.481 1.445
-0.517 2.269 1.445
```

## Properties
Mass density ... 3.1 g/cm³
Energy ... -6.652 eV/atom
ΔE to the lowest computed polymorph ... 303 meV/atom
ΔE_f (raw) ... 456 meV per atom
V ... 27.64 Å³/f.u.

***

# 3
The following is a DFT calculation (GGA-PBE) of crystalline SiB2C3 at its relaxed geometry.

Geometry as POSCAR:
```
SiB2C3
1.0
2.855 0.000 0.000
1.064 4.022 0.000
0.947 1.528 5.475
Si B C
1 2 3
Cartesian
0.000 0.000 0.000
2.466 4.423 2.339
2.581 3.582 3.927
3.431 4.515 4.989
3.882 4.460 1.843
3.979 3.181 4.538
```

## Properties
Mass density ... 2.3 g/cm³
Energy ... -7.145 eV/atom
ΔE to the lowest computed polymorph ... 397 meV/atom
ΔE_f (raw) ... 597 meV per atom
V ... 62.87 Å³/f.u.

***

# 4
The following is a DFT calculation (GGA-PBE) of crystalline SiB2C2 at its relaxed geometry.

Geometry as POSCAR:
```
SiB2C2
1.0
-1.368 1.710 5.646
1.368 -1.710 5.646
1.368 1.710 -5.646
Si B C
1 2 2
Cartesian
0.000 0.000 0.000
1.368 0.000 1.583
1.368 0.000 4.480
0.000 0.000 2.288
0.000 0.000 3.725
```

## Properties
Mass density ... 2.3 g/cm³
Energy ... -7.019 eV/atom
ΔE to the lowest computed polymorph ... 256 meV/atom
ΔE_f (raw) ... 426 meV per atom
V ... 52.82 Å³/f.u.

***

# 5
The following is a DFT calculation (GGA-PBE) of crystalline SiB2C3 at its relaxed geometry.

Geometry as POSCAR:
```
SiB2C3
1.0
2.776 0.000 0.000
-1.366 3.830 0.000
0.000 -1.101 4.778
Si B C
1 2 3
Cartesian
0.000 0.000 0.000
0.008 2.015 1.299
1.393 0.986 3.504
0.003 0.687 4.243
1.388 -0.185 1.220
1.397 1.173 1.920
```

## Properties
Mass density ... 2.8 g/cm³
Energy ... -7.300 eV/atom
ΔE to the lowest computed polymorph ... 242 meV/atom
ΔE_f (raw) ... 442 meV per atom
V ... 50.81 Å³/f.u.

***

# 6
The following is a DFT calculation (GGA-PBE) of crystalline SiB2C3 at its relaxed geometry.

Geometry as POSCAR:
```
SiB2C3
1.0
2.454 -1.431 0.000
2.454 1.431 0.000
-0.001 0.000 7.952
Si B C
1 2 3
Cartesian
0.000 0.000 0.000
2.222 0.000 5.566
3.325 0.000 2.063
0.056 0.000 1.934
3.255 0.000 7.204
3.835 0.000 5.653
```

## Properties
Mass density ... 2.5 g/cm³
Energy ... -7.430 eV/atom
ΔE to the lowest computed polymorph ... 112 meV/atom
ΔE_f (raw) ... 312 meV per atom
V ... 55.84 Å³/f.u.

***

# 7
The following is a DFT calculation (GGA-PBE) of crystalline SiB2C2 at its relaxed geometry.

Geometry as POSCAR:
```
SiB2C2
1.0
2.346 -1.356 0.000
2.346 1.356 0.000
-2.131 0.000 8.406
Si B C
1 2 2
Cartesian
0.000 0.000 0.000
0.998 0.000 6.276
3.130 0.000 2.130
0.000 0.000 2.021
2.559 0.000 6.384
```

## Properties
Mass density ... 2.3 g/cm³
Energy ... -7.275 eV/atom
ΔE to the lowest computed polymorph ... 0 meV/atom
ΔE_f (raw) ... 170 meV per atom
V ... 53.45 Å³/f.u.

***

# 8
The following is a DFT calculation (GGA-PBE) of crystalline SiB2C2 at its relaxed geometry.

Geometry as POSCAR:
```
SiB2C2
1.0
2.695 0.000 0.000
0.000 3.969 0.000
0.000 0.000 4.804
Si B C
1 2 2
Cartesian
0.000 0.000 0.000
0.000 1.984 0.924
0.000 1.984 3.880
1.348 1.984 1.688
1.348 1.984 3.116
```

## Properties
Mass density ... 2.4 g/cm³
Energy ... -7.068 eV/atom
ΔE to the lowest computed polymorph ... 207 meV/atom
ΔE_f (raw) ... 377 meV per atom
V ... 51.39 Å³/f.u.

***

Q: Look up the mass density of the fourth one.
A: 2.3 g/cm³

***

Q: What is the ΔE to the lowest computed polymorph in the seventh record?
A: 0 meV/atom